# PrGdFe2Ge2C | the Open Quantum Materials Database | GGA-PBE | relaxed
data_PrGdFe2Ge2C
_space_group_name_H-M_alt 'C 1 m 1'
_space_group_IT_number 8
_space_group_name_Hall 'C -2y'
_cell_length_a 10.883
_cell_length_b 4.048
_cell_length_c 7.008
_cell_angle_alpha 90.00
_cell_angle_beta 129.02
_cell_angle_gamma 90.00
loop_
_atom_site_label
_atom_site_fract_x
_atom_site_fract_y
_atom_site_fract_z
_atom_site_occupancy
Pr1 0.000 0.000 0.000 1
Gd1 0.384 0.500 0.416 1
Fe1 0.133 0.500 0.789 1
Fe2 0.245 0.000 0.616 1
Ge1 0.109 0.500 0.427 1
Ge2 0.273 0.000 0.984 1
C1 0.437 0.000 0.696 1
# - E_tot (hartree per atom) = -0.254